A plane-wave DFT calculation with PBE was carried out for a relaxed CeErFe crystal.

## Properties
ΔH_f (0 K) (eV/f.u.): 0.16
Energy above the most stable polymorph in this dataset (eV per atom): 0.145
Crystal system: tetragonal

abc: 3.3179 3.3179 12.5965
angles: 90.00 90.00 90.00
Fractional coordinates of all 6 atoms:
Ce1 0.0000 0.0000 0.0000
Ce2 0.5000 0.5000 0.5000
Er1 0.0000 0.0000 0.7432
Er2 0.5000 0.5000 0.2432
Fe1 0.0000 0.0000 0.3782
Fe2 0.5000 0.5000 0.8782